*a*
Zn6Ga3Ag2 | Alexandria via LeMat-Bulk | PBE | relaxed; magnetic moment = 0.00 Bohr magnetons per cell; space group = No. 139
1.0
-1.8520 1.8520 14.2000
1.8520 -1.8520 14.2000
1.8520 1.8520 -14.2000
Zn Ga Ag
6 3 2
direct
0.0662 0.5662 0.5000
0.2300 0.2300 0.0000
0.4338 0.9338 0.5000
0.5662 0.0662 0.5000
0.7700 0.7700 0.0000
0.9338 0.4338 0.5000
0.3227 0.3227 0.0000
0.5000 0.5000 0.0000
0.6773 0.6773 0.0000
0.1367 0.1367 0.0000
0.8633 0.8633 0.0000

=====

*b*
Zn6Ga3Ag2 | Alexandria via LeMat-Bulk | PBE | relaxed; magnetic moment = 0.00 Bohr magnetons per cell; space group = No. 2
1.0
5.1568 0.0000 0.0000
-1.1063 6.2166 0.0000
-1.4925 -2.7460 5.6643
Zn Ga Ag
6 3 2
direct
0.0415 0.4162 0.1756
0.1402 0.2234 0.5479
0.3136 0.8676 0.2744
0.6864 0.1324 0.7256
0.8598 0.7766 0.4521
0.9585 0.5838 0.8244
0.3946 0.6784 0.6246
0.5000 0.5000 0.0000
0.6054 0.3216 0.3754
0.2255 0.0440 0.9101
0.7745 0.9560 0.0899

=====

Top of the stability list: *b*, leading by 0.061 eV/atom.

=====

*a*
Zn4Ga3Ag4 | Alexandria via LeMat-Bulk | PBE | relaxed; magnetic moment = 0.00 Bohr magnetons per cell; space group = No. 71
1.0
-2.1873 4.1080 5.8411
2.1873 -4.1080 5.8411
2.1873 4.1080 -5.8411
Zn Ga Ag
4 3 4
direct
0.2475 0.2475 0.0000
0.3400 0.5000 0.8400
0.6600 0.5000 0.1600
0.7525 0.7525 0.0000
0.0000 0.0000 0.0000
0.3871 0.8871 0.5000
0.6129 0.1129 0.5000
0.0100 0.6859 0.3241
0.3618 0.6859 0.6759
0.6382 0.3141 0.3241
0.9900 0.3141 0.6759

=====

*b*
Zn4Ga3Ag4 | Alexandria via LeMat-Bulk | PBE | relaxed; magnetic moment = 0.00 Bohr magnetons per cell; space group = No. 71
1.0
-1.4870 3.7022 8.7237
1.4870 -3.7022 8.7237
1.4870 3.7022 -8.7237
Zn Ga Ag
4 3 4
direct
0.1859 0.0000 0.1859
0.2464 0.2464 0.0000
0.7536 0.7536 0.0000
0.8141 0.0000 0.8141
0.1130 0.6130 0.5000
0.5000 0.5000 0.0000
0.8870 0.3870 0.5000
0.1582 0.8500 0.3082
0.4583 0.1500 0.3082
0.5417 0.8500 0.6918
0.8418 0.1500 0.6918

=====

Top of the stability list: *b*, leading by 0.072 eV/atom.

=====

*a*
Zn7GaAg4 | Alexandria via LeMat-Bulk | PBE | relaxed; magnetic moment = 0.00 Bohr magnetons per cell; space group = No. 12
1.0
6.5115 -2.3808 0.0000
6.5115 2.3808 0.0000
-4.5562 0.0000 6.6509
Zn Ga Ag
7 1 4
direct
0.0000 0.0000 0.0000
0.0537 0.0537 0.7254
0.2605 0.2605 0.7573
0.4295 0.4295 0.5717
0.5705 0.5705 0.4283
0.7395 0.7395 0.2427
0.9463 0.9463 0.2746
0.5000 0.5000 0.0000
0.1837 0.1837 0.3750
0.3072 0.3072 0.1394
0.6928 0.6928 0.8606
0.8163 0.8163 0.6250

=====

*b*
Zn7GaAg4 | Alexandria via LeMat-Bulk | PBE | relaxed; magnetic moment = 0.00 Bohr magnetons per cell; space group = No. 164
1.0
2.8983 0.0000 0.0000
-1.4491 2.5100 0.0000
0.0000 0.0000 26.7562
Zn Ga Ag
7 1 4
direct
0.0000 0.0000 0.0000
0.0000 0.0000 0.2500
0.0000 0.0000 0.7500
0.3333 0.6667 0.1683
0.3333 0.6667 0.4178
0.6667 0.3333 0.5822
0.6667 0.3333 0.8317
0.0000 0.0000 0.5000
0.3333 0.6667 0.6655
0.3333 0.6667 0.9161
0.6667 0.3333 0.0839
0.6667 0.3333 0.3345

=====

Top of the stability list: *b*, leading by 0.084 eV/atom.

=====

*a*
Zn2Ga5Ag4 | Alexandria via LeMat-Bulk | PBE | relaxed; magnetic moment = 0.00 Bohr magnetons per cell; space group = No. 12
1.0
10.0411 -1.4867 0.0000
10.0411 1.4867 0.0000
-1.4465 0.0000 6.3952
Zn Ga Ag
2 5 4
direct
0.0867 0.0867 0.2231
0.9133 0.9133 0.7769
0.0000 0.0000 0.5000
0.2760 0.2760 0.6837
0.3677 0.3677 0.4200
0.6323 0.6323 0.5800
0.7240 0.7240 0.3163
0.1811 0.1811 0.9498
0.4533 0.4533 0.1361
0.5467 0.5467 0.8639
0.8189 0.8189 0.0502

=====

*b*
Zn2Ga5Ag4 | Alexandria via LeMat-Bulk | PBE | relaxed; magnetic moment = 0.00 Bohr magnetons per cell; space group = No. 12
1.0
10.9470 -1.4495 0.0000
10.9470 1.4495 0.0000
-0.6852 0.0000 6.5076
Zn Ga Ag
2 5 4
direct
0.0850 0.0850 0.3067
0.9150 0.9150 0.6933
0.1466 0.1466 0.9813
0.2189 0.2189 0.3290
0.5000 0.5000 0.0000
0.7811 0.7811 0.6710
0.8534 0.8534 0.0187
0.0418 0.0418 0.6836
0.3446 0.3446 0.3741
0.6554 0.6554 0.6259
0.9582 0.9582 0.3164

=====

Top of the stability list: *a*, leading by 0.063 eV/atom.

=====

*a*
Zn5GaAg4 | Alexandria via LeMat-Bulk | PBE | relaxed; magnetic moment = 0.00 Bohr magnetons per cell; space group = No. 123
1.0
2.9002 0.0000 0.0000
0.0000 2.9002 0.0000
0.0000 0.0000 19.4637
Zn Ga Ag
5 1 4
direct
0.0000 0.0000 0.0000
0.0000 0.0000 0.1972
0.0000 0.0000 0.3995
0.0000 0.0000 0.6005
0.0000 0.0000 0.8028
0.5000 0.5000 0.5000
0.5000 0.5000 0.0985
0.5000 0.5000 0.2972
0.5000 0.5000 0.7028
0.5000 0.5000 0.9015

=====

*b*
Zn5GaAg4 | Alexandria via LeMat-Bulk | PBE | relaxed; magnetic moment = 0.00 Bohr magnetons per cell; space group = No. 71
1.0
-2.1814 4.1190 4.7641
2.1814 -4.1190 4.7641
2.1814 4.1190 -4.7641
Zn Ga Ag
5 1 4
direct
0.0000 0.0000 0.0000
0.0334 0.8162 0.2171
0.4009 0.1838 0.2171
0.5991 0.8162 0.7829
0.9666 0.1838 0.7829
0.5000 0.0000 0.5000
0.1765 0.6765 0.5000
0.3018 0.5000 0.8018
0.6982 0.5000 0.1982
0.8235 0.3235 0.5000

=====

Top of the stability list: *a*, leading by 0.033 eV/atom.

=====

*a*
Zn2Ga4Ag3 | Alexandria via LeMat-Bulk | PBE | relaxed; magnetic moment = 0.00 Bohr magnetons per cell; space group = No. 156
1.0
3.0040 0.0000 0.0000
-1.5020 2.6015 0.0000
0.0000 0.0000 20.3192
Zn Ga Ag
2 4 3
direct
0.0000 0.0000 0.0000
0.0000 0.0000 0.2116
0.0000 0.0000 0.3334
0.0000 0.0000 0.5563
0.3333 0.6667 0.6686
0.3333 0.6667 0.8943
0.0000 0.0000 0.7826
0.3333 0.6667 0.1060
0.3333 0.6667 0.4432

=====

*b*
Zn2Ga4Ag3 | Alexandria via LeMat-Bulk | PBE | relaxed; magnetic moment = 0.00 Bohr magnetons per cell; space group = No. 2
1.0
5.4428 0.0000 0.0000
-0.1341 7.8890 0.0000
-1.3621 -3.1032 7.5679
Zn Ga Ag
4 8 6
direct
0.1040 0.0827 0.1754
0.1539 0.6744 0.5677
0.8461 0.3256 0.4323
0.8960 0.9173 0.8246
0.1228 0.4792 0.7730
0.1442 0.2902 0.9780
0.3238 0.2240 0.5050
0.3303 0.0263 0.7134
0.6697 0.9737 0.2866
0.6762 0.7760 0.4950
0.8558 0.7098 0.0220
0.8772 0.5208 0.2270
0.2192 0.8231 0.3202
0.3609 0.8191 0.9566
0.3975 0.4464 0.3062
0.6025 0.5536 0.6938
0.6391 0.1809 0.0434
0.7808 0.1769 0.6798

=====

Top of the stability list: *a*, leading by 0.013 eV/atom.

=====

*a*
Gd3Ag | Alexandria via LeMat-Bulk | PBE | relaxed; magnetic moment = 7.45 Bohr magnetons per cell; space group = No. 225
1.0
0.0000 3.8351 3.8351
3.8351 0.0000 3.8351
3.8351 3.8351 0.0000
Gd Ag
3 1
direct
0.0000 0.0000 0.0000
0.2500 0.2500 0.2500
0.7500 0.7500 0.7500
0.5000 0.5000 0.5000

=====

*b*
Gd3Ag | Alexandria via LeMat-Bulk | PBE | relaxed; magnetic moment = 7.83 Bohr magnetons per cell; space group = No. 139
1.0
-2.3319 2.3319 5.1927
2.3319 -2.3319 5.1927
2.3319 2.3319 -5.1927
Gd Ag
3 1
direct
0.0000 0.0000 0.0000
0.2500 0.7500 0.5000
0.7500 0.2500 0.5000
0.5000 0.5000 0.0000

=====

*c*
Gd3Ag | Alexandria via LeMat-Bulk | PBE | relaxed; magnetic moment = 22.34 Bohr magnetons per cell; space group = No. 44
1.0
-1.8664 5.6661 2.7207
1.8664 -5.6661 2.7207
1.8664 5.6661 -2.7207
Gd Ag
3 1
direct
0.0000 0.0000 0.0000
0.2816 0.4990 0.7827
0.7163 0.4990 0.2173
0.5010 0.0010 0.5000

=====

Top of the stability list: *c*, leading by 0.113 eV/atom.

=====

*a*
Gd3Ag | Alexandria via LeMat-Bulk | PBE | relaxed; magnetic moment = 23.49 Bohr magnetons per cell; space group = No. 221
1.0
4.8239 0.0000 0.0000
0.0000 4.8239 0.0000
0.0000 0.0000 4.8239
Gd Ag
3 1
direct
0.0000 0.0000 0.5000
0.0000 0.5000 0.0000
0.5000 0.0000 0.0000
0.5000 0.5000 0.5000

=====

*b*
Gd3Ag | Alexandria via LeMat-Bulk | PBE | relaxed; magnetic moment = 46.41 Bohr magnetons per cell; space group = No. 194
1.0
6.8601 0.0000 0.0000
-3.4300 5.9410 0.0000
0.0000 0.0000 5.5113
Gd Ag
6 2
direct
0.1722 0.3444 0.2500
0.1722 0.8278 0.2500
0.3444 0.1722 0.7500
0.6556 0.8278 0.2500
0.8278 0.1722 0.7500
0.8278 0.6556 0.7500
0.3333 0.6667 0.7500
0.6667 0.3333 0.2500

=====

Top of the stability list: *a*, leading by 0.012 eV/atom.

=====

*a*
GdHo2Ag | Alexandria via LeMat-Bulk | PBE | relaxed; magnetic moment = 7.66 Bohr magnetons per cell; space group = No. 123
1.0
3.5551 0.0000 0.0000
0.0000 3.5551 0.0000
0.0000 0.0000 8.8522
Gd Ho Ag
1 2 1
direct
0.0000 0.0000 0.0000
0.5000 0.5000 0.2884
0.5000 0.5000 0.7116
0.0000 0.0000 0.5000

=====

*b*
GdHo2Ag | Alexandria via LeMat-Bulk | PBE | relaxed; magnetic moment = 8.04 Bohr magnetons per cell; space group = No. 225
1.0
0.0000 3.7814 3.7814
3.7814 0.0000 3.7814
3.7814 3.7814 0.0000
Gd Ho Ag
1 2 1
direct
0.0000 0.0000 0.0000
0.2500 0.2500 0.2500
0.7500 0.7500 0.7500
0.5000 0.5000 0.5000

=====

Top of the stability list: *a*, leading by 0.196 eV/atom.

=====

*a*
GdIn2Ag | Alexandria via LeMat-Bulk | PBE | relaxed; magnetic moment = 7.36 Bohr magnetons per cell; space group = No. 123
1.0
4.5736 0.0000 0.0000
0.0000 4.5736 0.0000
0.0000 0.0000 4.5880
Gd In Ag
1 2 1
direct
0.0000 0.0000 0.0000
0.0000 0.5000 0.5000
0.5000 0.0000 0.5000
0.5000 0.5000 0.0000

=====

*b*
GdIn2Ag | Alexandria via LeMat-Bulk | PBE | relaxed; magnetic moment = 7.02 Bohr magnetons per cell; space group = No. 225
1.0
0.0000 3.6248 3.6248
3.6248 0.0000 3.6248
3.6248 3.6248 0.0000
Gd In Ag
1 2 1
direct
0.0000 0.0000 0.0000
0.2500 0.2500 0.2500
0.7500 0.7500 0.7500
0.5000 0.5000 0.5000

=====

Top of the stability list: *a*, leading by 0.058 eV/atom.

=====

*a*
GdLuAg2 | Alexandria via LeMat-Bulk | PBE | relaxed; magnetic moment = 7.25 Bohr magnetons per cell; space group = No. 123
1.0
3.5724 0.0000 0.0000
0.0000 3.5724 0.0000
0.0000 0.0000 7.3918
Gd Lu Ag
1 1 2
direct
0.0000 0.0000 0.0000
0.0000 0.0000 0.5000
0.5000 0.5000 0.2685
0.5000 0.5000 0.7315

=====

*b*
GdLuAg2 | Alexandria via LeMat-Bulk | PBE | relaxed; magnetic moment = 7.14 Bohr magnetons per cell; space group = No. 225
1.0
0.0000 3.6201 3.6201
3.6201 0.0000 3.6201
3.6201 3.6201 0.0000
Gd Lu Ag
1 1 2
direct
0.0000 0.0000 0.0000
0.5000 0.5000 0.5000
0.2500 0.2500 0.2500
0.7500 0.7500 0.7500

=====

Top of the stability list: *a*, leading by 0.010 eV/atom.